(1)
Material: RbAg2RuBr8
Method: DFT, PBE
State: relaxed

Results
- formation energy without anion corrections (eV/atom) = -0.4539

The structure in POSCAR format:
```
RbAg2RuBr8
1.0
-0.917 -4.804 -4.719
5.967 0.915 -1.127
5.325 -6.139 5.280
Rb Br Ru Ag
1 8 1 2
Direct
0.000 0.000 0.500 Rb
0.498 0.260 0.479 Br
0.502 0.740 0.521 Br
0.330 0.226 0.020 Br
0.920 0.315 0.765 Br
0.670 0.774 0.980 Br
0.169 0.819 0.852 Br
0.080 0.685 0.235 Br
0.831 0.181 0.148 Br
0.000 0.000 0.000 Ru
0.587 0.507 0.796 Ag
0.413 0.493 0.204 Ag
```

=====

(2)
Material: Rb2AgRuBr
Method: DFT, PBE
State: relaxed

Results
- formation energy without anion corrections (eV/atom) = 0.3913

The structure in POSCAR format:
```
Rb2AgRuBr
1.0
6.677 0.000 0.000
0.000 4.736 0.000
0.000 0.000 6.677
Ag Br Rb Ru
1 1 2 1
Direct
0.500 0.500 0.500 Ag
0.000 0.500 0.000 Br
0.000 0.000 0.500 Rb
0.500 0.000 0.000 Rb
0.000 0.000 0.000 Ru
```

=====

no.,volume (Å³ per cell)
1,378
2,211